# SrAl2O4 SCAN PBEsol geometry
data_SrAl2O4
_cell_length_a 5.171
_cell_length_b 8.798
_cell_length_c 8.424
_cell_angle_alpha 90.00
_cell_angle_beta 93.60
_cell_angle_gamma 90.00
_symmetry_space_group_name_H-M 'P 1'
_symmetry_Int_Tables_number 1
loop_
_symmetry_equiv_pos_as_xyz
'x,y,z'
loop_
_atom_site_label
_atom_site_type_symbol
_atom_site_fract_x
_atom_site_fract_y
_atom_site_fract_z
Sr1 Sr 0.199 0.000 0.031
Sr2 Sr 0.253 0.992 0.489
Sr3 Sr 0.747 0.492 0.511
Sr4 Sr 0.801 0.500 0.969
Al1 Al 0.198 0.323 0.321
Al2 Al 0.221 0.324 0.710
Al3 Al 0.272 0.654 0.200
Al4 Al 0.290 0.663 0.810
Al5 Al 0.710 0.163 0.190
Al6 Al 0.728 0.154 0.800
Al7 Al 0.779 0.824 0.290
Al8 Al 0.802 0.823 0.679
O1 O 0.062 0.199 0.833
O2 O 0.099 0.510 0.733
O3 O 0.101 0.830 0.794
O4 O 0.113 0.273 0.514
O5 O 0.345 0.503 0.331
O6 O 0.359 0.605 0.008
O7 O 0.406 0.175 0.270
O8 O 0.437 0.823 0.264
O9 O 0.563 0.323 0.736
O10 O 0.594 0.675 0.730
O11 O 0.641 0.105 0.992
O12 O 0.655 0.003 0.669
O13 O 0.887 0.773 0.486
O14 O 0.899 0.330 0.206
O15 O 0.901 0.010 0.267
O16 O 0.938 0.699 0.167
# Formation energy (no corrections)   -3.368 eV/atom
# Uncorrected energy   -12.33 eV/atom